DFT (PBE) results for a relaxed CuTeP2 crystal.

Cell and atoms, written as CIF:
```
data_CuTeP2
_chemical_formula_sum 'Cu2 Te2 P4'
_cell_length_a 3.112
_cell_length_b 6.547
_cell_length_c 9.311
_cell_angle_alpha 90.00
_cell_angle_beta 90.00
_cell_angle_gamma 90.00
_symmetry_space_group_name_H-M 'C m m 2'
_symmetry_Int_Tables_number 35
loop_
_symmetry_equiv_pos_as_xyz
'x,y,z'
'-x,-y,z'
'-x,y,z'
'x,-y,z'
'x+1/2,y+1/2,z'
'-x+1/2,-y+1/2,z'
'-x+1/2,y+1/2,z'
'x+1/2,-y+1/2,z'
loop_
_atom_site_label
_atom_site_fract_x
_atom_site_fract_y
_atom_site_fract_z
Cu1 0.000 0.000 0.000
Te1 0.000 0.500 0.770
P1 0.000 0.000 0.368
P2 0.000 0.500 0.212
```

Summary:
- ρ (Mg/m³) = 4.4
- uncorrected formation energy (kJ/mol of formula units) = 164

---

DFT (PBE) results for a relaxed CuTeP2 crystal.

Cell and atoms, written as CIF:
```
data_CuTeP2
_chemical_formula_sum 'Cu1 Te1 P2'
_cell_length_a 3.510
_cell_length_b 3.510
_cell_length_c 6.226
_cell_angle_alpha 90.00
_cell_angle_beta 90.00
_cell_angle_gamma 90.00
_symmetry_space_group_name_H-M 'P 4 m m'
_symmetry_Int_Tables_number 99
loop_
_symmetry_equiv_pos_as_xyz
'x,y,z'
'-y,x,z'
'-x,-y,z'
'y,-x,z'
'-x,y,z'
'y,x,z'
'x,-y,z'
'-y,-x,z'
loop_
_atom_site_label
_atom_site_fract_x
_atom_site_fract_y
_atom_site_fract_z
Cu1 0.000 0.000 0.000
Te1 0.500 0.500 0.842
P1 0.000 0.000 0.364
P2 0.500 0.500 0.428
```

Summary:
- ρ (Mg/m³) = 5.5
- uncorrected formation energy (kJ/mol of formula units) = 72